# NaIn2WO6

NaIn2WO6 after structural relaxation (GGA+U, Alexandria via LeMat-Bulk).

Summary:
Magnetization, Bohr magnetons per cell: 1.000
Raw total energy, eV per atom: -6.104
Space-group type: P1 (1)

a = 5.481 Å, b = 5.583 Å, c = 5.862 Å
α = 61.76°, β = 89.01°, γ = 60.98°
Positions (direct):
Na 0.000 0.000 0.000
In 0.279 0.448 0.830
In 0.779 0.450 0.348
W 0.485 0.037 0.445
O 0.110 0.485 0.174
O 0.233 0.926 0.642
O 0.420 0.934 0.172
O 0.577 0.222 0.644
O 0.656 0.249 0.175
O 0.862 0.596 0.628